No. 1
First-principles (GGA-PBE) data for a relaxed structure of LaDy4Er2Sc, as listed in the Alexandria database.

abc: 13.3817 13.0612 6.7311
angles: 90.00 120.17 90.00
Space group C2/c (No. 15)
One atom of each set of equivalent atoms:
La 0.0000 0.0000 0.0000
Dy 0.0011 0.2505 0.4943
Dy 0.2503 0.0070 0.4998
Er 0.0000 0.5000 0.0000
Er 0.2500 0.2500 0.0000
Sc 0.2500 0.2500 0.5000

Calculated values
The formation energy comes out at 41 kJ/mol of atoms. The calculation puts the total energy at -4.422 eV/atom. The crystal system is monoclinic. The size of the total moment comes out at 4.46 Bohr magnetons per cell.

No. 2
First-principles (GGA-PBE) data for a relaxed structure of LaDyErSc, as listed in the Alexandria database.

abc: 12.1123 5.6660 3.8160
angles: 90.00 108.35 90.00
Space group Cm (No. 8)
One atom of each set of equivalent atoms:
La 0.0000 0.0000 0.0000
Dy 0.2298 0.5000 0.2260
Er 0.2675 0.0000 0.7639
Sc 0.4976 0.0000 0.4951

Calculated values
The formation energy comes out at 9 kJ/mol of atoms. The calculation puts the total energy at -5.018 eV/atom. The crystal system is monoclinic. The size of the total moment comes out at 0.00 Bohr magnetons per cell.